# Pm5ScZn4

Crystalline Pm5ScZn4 at its relaxed geometry (PBE-GGA, Alexandria via LeMat-Bulk).

Cell: 3.651 3.651 19.171 Å, 90.00 90.00 90.00°
Atoms (fractional coordinates):
Pm  0.000  0.000  0.000
Pm  0.000  0.000  0.191
Pm  0.000  0.000  0.381
Pm  0.000  0.000  0.619
Pm  0.000  0.000  0.809
Sc  0.500  0.500  0.500
Zn  0.500  0.500  0.096
Zn  0.500  0.500  0.288
Zn  0.500  0.500  0.712
Zn  0.500  0.500  0.904

Properties
Its crystal system is tetragonal. The space group is P4/mmm.

***

# PmScZn4

Crystalline PmScZn4 at its relaxed geometry (PBE-GGA, Alexandria via LeMat-Bulk).

Cell: 5.409 5.409 5.409 Å, 60.00 60.00 60.00°
Atoms (fractional coordinates):
Pm  0.000  0.000  0.000
Sc  0.250  0.250  0.250
Zn  0.127  0.624  0.624
Zn  0.624  0.127  0.624
Zn  0.624  0.624  0.127
Zn  0.624  0.624  0.624

Properties
Its crystal system is cubic. The space group is F-43m.

***

# PmSc4Zn5

Crystalline PmSc4Zn5 at its relaxed geometry (PBE-GGA, Alexandria via LeMat-Bulk).

Cell: 3.398 3.398 17.199 Å, 90.00 90.00 90.00°
Atoms (fractional coordinates):
Pm  0.000  0.000  0.000
Sc  0.000  0.000  0.212
Sc  0.000  0.000  0.404
Sc  0.000  0.000  0.596
Sc  0.000  0.000  0.788
Zn  0.500  0.500  0.120
Zn  0.500  0.500  0.307
Zn  0.500  0.500  0.500
Zn  0.500  0.500  0.693
Zn  0.500  0.500  0.880

Properties
Its crystal system is tetragonal. The space group is P4/mmm.

***

# Pm6ScZn5

Crystalline Pm6ScZn5 at its relaxed geometry (PBE-GGA, Alexandria via LeMat-Bulk).

Cell: 9.060 9.060 9.060 Å, 146.87 131.49 60.00°
Atoms (fractional coordinates):
Pm  0.072  0.329  0.743
Pm  0.232  0.000  0.232
Pm  0.415  0.671  0.743
Pm  0.585  0.329  0.257
Pm  0.768  0.000  0.768
Pm  0.928  0.671  0.257
Sc  0.500  0.500  0.000
Zn  0.000  0.500  0.500
Zn  0.167  0.167  0.000
Zn  0.348  0.848  0.500
Zn  0.652  0.152  0.500
Zn  0.833  0.833  0.000

Properties
Its crystal system is orthorhombic. The space group is Immm.

***

# Pm3ScZn8

Crystalline Pm3ScZn8 at its relaxed geometry (PBE-GGA, Alexandria via LeMat-Bulk).

Cell: 9.478 9.478 9.478 Å, 33.67 33.67 33.67°
Atoms (fractional coordinates):
Pm  0.000  0.000  0.000
Pm  0.125  0.125  0.125
Pm  0.624  0.624  0.624
Sc  0.500  0.500  0.500
Zn  0.061  0.061  0.559
Zn  0.061  0.559  0.061
Zn  0.068  0.562  0.562
Zn  0.312  0.312  0.312
Zn  0.559  0.061  0.061
Zn  0.562  0.068  0.562
Zn  0.562  0.562  0.068
Zn  0.812  0.812  0.812

Properties
Its crystal system is trigonal. The space group is R3m.

***

# Pm2ScZn5

Crystalline Pm2ScZn5 at its relaxed geometry (PBE-GGA, Alexandria via LeMat-Bulk).

Cell: 4.759 4.759 14.296 Å, 90.00 90.00 90.00°
Atoms (fractional coordinates):
Pm  0.000  0.000  0.234
Pm  0.000  0.000  0.766
Pm  0.500  0.500  0.266
Pm  0.500  0.500  0.734
Sc  0.000  0.000  0.500
Sc  0.500  0.500  0.000
Zn  0.000  0.000  0.000
Zn  0.000  0.500  0.105
Zn  0.000  0.500  0.395
Zn  0.000  0.500  0.605
Zn  0.000  0.500  0.895
Zn  0.500  0.000  0.105
Zn  0.500  0.000  0.395
Zn  0.500  0.000  0.605
Zn  0.500  0.000  0.895
Zn  0.500  0.500  0.500

Properties
Its crystal system is tetragonal. The space group is I4/mmm.

***

# PmSc2Zn

Crystalline PmSc2Zn at its relaxed geometry (PBE-GGA, Alexandria via LeMat-Bulk).

Cell: 3.375 3.375 8.410 Å, 90.00 90.00 90.00°
Atoms (fractional coordinates):
Pm  0.000  0.000  0.000
Sc  0.500  0.500  0.303
Sc  0.500  0.500  0.697
Zn  0.000  0.000  0.500

Properties
Its crystal system is tetragonal. The space group is P4/mmm.

***

# Pm2ScZn4

Crystalline Pm2ScZn4 at its relaxed geometry (PBE-GGA, Alexandria via LeMat-Bulk).

Cell: 8.698 8.698 8.698 Å, 32.60 32.60 32.60°
Atoms (fractional coordinates):
Pm  0.246  0.246  0.246
Pm  0.754  0.754  0.754
Sc  0.000  0.000  0.000
Zn  0.123  0.123  0.123
Zn  0.370  0.370  0.370
Zn  0.630  0.630  0.630
Zn  0.877  0.877  0.877

Properties
Its crystal system is trigonal. The space group is R-3m.

***

# PmScZn10

Crystalline PmScZn10 at its relaxed geometry (PBE-GGA, Alexandria via LeMat-Bulk).

Cell: 4.227 5.272 9.127 Å, 90.00 90.00 90.00°
Atoms (fractional coordinates):
Pm  0.000  0.000  0.000
Sc  0.000  0.500  0.500
Zn  0.000  0.000  0.343
Zn  0.000  0.000  0.657
Zn  0.000  0.500  0.178
Zn  0.000  0.500  0.822
Zn  0.500  0.000  0.500
Zn  0.500  0.251  0.253
Zn  0.500  0.251  0.747
Zn  0.500  0.500  0.000
Zn  0.500  0.749  0.253
Zn  0.500  0.749  0.747

Properties
Its crystal system is orthorhombic. The space group is Pmmm.

***

# PmSc2Zn

Crystalline PmSc2Zn at its relaxed geometry (PBE-GGA, Alexandria via LeMat-Bulk).

Cell: 3.410 3.410 29.655 Å, 90.00 90.00 120.00°
Atoms (fractional coordinates):
Pm  0.000  0.000  0.000
Pm  0.333  0.667  0.667
Pm  0.667  0.333  0.333
Sc  0.000  0.000  0.238
Sc  0.000  0.000  0.431
Sc  0.333  0.667  0.098
Sc  0.333  0.667  0.904
Sc  0.667  0.333  0.571
Sc  0.667  0.333  0.764
Zn  0.000  0.000  0.835
Zn  0.333  0.667  0.501
Zn  0.667  0.333  0.168

Properties
Its crystal system is trigonal. The space group is R3m.

***

# PmScZn3

Crystalline PmScZn3 at its relaxed geometry (PBE-GGA, Alexandria via LeMat-Bulk).

Cell: 8.792 8.792 5.589 Å, 100.03 100.03 28.95°
Atoms (fractional coordinates):
Pm  0.072  0.072  0.324
Pm  0.928  0.928  0.676
Sc  0.281  0.281  0.320
Sc  0.719  0.719  0.680
Zn  0.150  0.150  0.879
Zn  0.315  0.315  0.832
Zn  0.443  0.443  0.169
Zn  0.557  0.557  0.831
Zn  0.685  0.685  0.168
Zn  0.850  0.850  0.121

Properties
Its crystal system is monoclinic. The space group is C2/m.

***

# PmSc3Zn2

Crystalline PmSc3Zn2 at its relaxed geometry (PBE-GGA, Alexandria via LeMat-Bulk).

Cell: 3.378 3.378 11.690 Å, 90.00 90.00 90.00°
Atoms (fractional coordinates):
Pm  0.000  0.000  0.000
Sc  0.500  0.500  0.217
Sc  0.500  0.500  0.500
Sc  0.500  0.500  0.783
Zn  0.000  0.000  0.359
Zn  0.000  0.000  0.641

Properties
Its crystal system is tetragonal. The space group is P4/mmm.

***

# PmScZn2

Crystalline PmScZn2 at its relaxed geometry (PBE-GGA, Alexandria via LeMat-Bulk).

Cell: 3.464 3.464 7.175 Å, 90.00 90.00 90.00°
Atoms (fractional coordinates):
Pm  0.000  0.000  0.000
Sc  0.000  0.000  0.500
Zn  0.500  0.500  0.286
Zn  0.500  0.500  0.714

Properties
Its crystal system is tetragonal. The space group is P4/mmm.

***

# Pm3Sc2Zn2

Crystalline Pm3Sc2Zn2 at its relaxed geometry (PBE-GGA, Alexandria via LeMat-Bulk).

Cell: 4.773 21.991 3.439 Å, 90.00 90.00 90.00°
Atoms (fractional coordinates):
Pm  0.000  0.000  0.000
Pm  0.000  0.148  0.000
Pm  0.000  0.852  0.000
Pm  0.500  0.352  0.000
Pm  0.500  0.500  0.000
Pm  0.500  0.648  0.000
Sc  0.000  0.289  0.500
Sc  0.000  0.711  0.500
Sc  0.500  0.211  0.500
Sc  0.500  0.789  0.500
Zn  0.000  0.429  0.500
Zn  0.000  0.571  0.500
Zn  0.500  0.071  0.500
Zn  0.500  0.929  0.500

Properties
Its crystal system is orthorhombic. The space group is Cmmm.

***

# PmSc5Zn4

Crystalline PmSc5Zn4 at its relaxed geometry (PBE-GGA, Alexandria via LeMat-Bulk).

Cell: 3.362 3.362 18.427 Å, 90.00 90.00 90.00°
Atoms (fractional coordinates):
Pm  0.000  0.000  0.000
Sc  0.500  0.500  0.139
Sc  0.500  0.500  0.319
Sc  0.500  0.500  0.500
Sc  0.500  0.500  0.681
Sc  0.500  0.500  0.861
Zn  0.000  0.000  0.227
Zn  0.000  0.000  0.408
Zn  0.000  0.000  0.592
Zn  0.000  0.000  0.773

Properties
Its crystal system is tetragonal. The space group is P4/mmm.

***

# PmScZn

Crystalline PmScZn at its relaxed geometry (PBE-GGA, Alexandria via LeMat-Bulk).

Cell: 4.827 4.827 3.721 Å, 90.00 90.00 120.00°
Atoms (fractional coordinates):
Pm  0.000  0.000  0.000
Sc  0.333  0.667  0.499
Zn  0.667  0.333  0.504

Properties
Its crystal system is trigonal. The space group is P3m1.

***

# PmSc2Zn

Crystalline PmSc2Zn at its relaxed geometry (PBE-GGA, Alexandria via LeMat-Bulk).

Cell: 4.976 4.976 13.401 Å, 90.00 90.00 120.00°
Atoms (fractional coordinates):
Pm  0.000  0.000  0.000
Pm  0.333  0.667  0.667
Pm  0.667  0.333  0.333
Sc  0.000  0.000  0.234
Sc  0.000  0.000  0.766
Sc  0.333  0.667  0.433
Sc  0.333  0.667  0.900
Sc  0.667  0.333  0.100
Sc  0.667  0.333  0.567
Zn  0.000  0.000  0.500
Zn  0.333  0.667  0.167
Zn  0.667  0.333  0.833

Properties
Its crystal system is trigonal. The space group is R-3m.

***

# PmSc3Zn4

Crystalline PmSc3Zn4 at its relaxed geometry (PBE-GGA, Alexandria via LeMat-Bulk).

Cell: 4.826 4.826 6.961 Å, 90.00 90.00 90.00°
Atoms (fractional coordinates):
Pm  0.000  0.000  0.000
Sc  0.000  0.000  0.500
Sc  0.500  0.500  0.000
Sc  0.500  0.500  0.500
Zn  0.000  0.500  0.272
Zn  0.000  0.500  0.728
Zn  0.500  0.000  0.272
Zn  0.500  0.000  0.728

Properties
Its crystal system is tetragonal. The space group is P4/mmm.

***

# PmSc3Zn8

Crystalline PmSc3Zn8 at its relaxed geometry (PBE-GGA, Alexandria via LeMat-Bulk).

Cell: 5.364 5.364 8.590 Å, 90.00 90.00 120.00°
Atoms (fractional coordinates):
Pm  0.000  0.000  0.000
Sc  0.000  0.000  0.381
Sc  0.667  0.333  0.489
Sc  0.667  0.333  0.860
Zn  0.163  0.327  0.678
Zn  0.163  0.837  0.678
Zn  0.333  0.667  0.435
Zn  0.333  0.667  0.933
Zn  0.504  0.009  0.190
Zn  0.504  0.496  0.190
Zn  0.673  0.837  0.678
Zn  0.991  0.496  0.190

Properties
Its crystal system is trigonal. The space group is P3m1.

***

# Pm4ScZn5

Crystalline Pm4ScZn5 at its relaxed geometry (PBE-GGA, Alexandria via LeMat-Bulk).

Cell: 3.584 3.584 18.135 Å, 90.00 90.00 90.00°
Atoms (fractional coordinates):
Pm  0.000  0.000  0.104
Pm  0.000  0.000  0.310
Pm  0.000  0.000  0.690
Pm  0.000  0.000  0.896
Sc  0.000  0.000  0.500
Zn  0.500  0.500  0.000
Zn  0.500  0.500  0.206
Zn  0.500  0.500  0.419
Zn  0.500  0.500  0.581
Zn  0.500  0.500  0.794

Properties
Its crystal system is tetragonal. The space group is P4/mmm.

***

# Pm4ScZn

Crystalline Pm4ScZn at its relaxed geometry (PBE-GGA, Alexandria via LeMat-Bulk).

Cell: 3.622 3.622 13.476 Å, 90.00 90.00 90.00°
Atoms (fractional coordinates):
Pm  0.000  0.000  0.136
Pm  0.000  0.000  0.864
Pm  0.500  0.500  0.330
Pm  0.500  0.500  0.670
Sc  0.000  0.000  0.500
Zn  0.500  0.500  0.000

Properties
Its crystal system is tetragonal. The space group is P4/mmm.

***

# PmScZn6

Crystalline PmScZn6 at its relaxed geometry (PBE-GGA, Alexandria via LeMat-Bulk).

Cell: 4.275 5.974 5.792 Å, 90.00 90.00 90.00°
Atoms (fractional coordinates):
Pm  0.000  0.000  0.000
Sc  0.500  0.500  0.212
Zn  0.000  0.267  0.467
Zn  0.000  0.500  0.871
Zn  0.000  0.733  0.467
Zn  0.500  0.000  0.392
Zn  0.500  0.277  0.739
Zn  0.500  0.723  0.739

Properties
Its crystal system is orthorhombic. The space group is Pmm2.

***

# Pm14ZrSc

Crystalline Pm14ZrSc at its relaxed geometry (PBE-GGA, Alexandria via LeMat-Bulk).

Cell: 7.186 7.186 10.161 Å, 90.00 90.00 90.00°
Atoms (fractional coordinates):
Pm  0.000  0.000  0.000
Pm  0.000  0.500  0.000
Pm  0.000  0.500  0.500
Pm  0.247  0.247  0.259
Pm  0.247  0.247  0.741
Pm  0.247  0.753  0.259
Pm  0.247  0.753  0.741
Pm  0.500  0.000  0.000
Pm  0.500  0.000  0.500
Pm  0.500  0.500  0.000
Pm  0.753  0.247  0.259
Pm  0.753  0.247  0.741
Pm  0.753  0.753  0.259
Pm  0.753  0.753  0.741
Zr  0.000  0.000  0.500
Sc  0.500  0.500  0.500

Properties
Its crystal system is tetragonal. The space group is P4/mmm.

***

# PmZrSc

Crystalline PmZrSc at its relaxed geometry (PBE-GGA, Alexandria via LeMat-Bulk).

Cell: 3.296 3.296 14.796 Å, 90.00 90.00 90.00°
Atoms (fractional coordinates):
Pm  0.000  0.000  0.000
Pm  0.500  0.500  0.500
Zr  0.000  0.000  0.328
Zr  0.500  0.500  0.828
Sc  0.000  0.000  0.684
Sc  0.500  0.500  0.184

Properties
Its crystal system is tetragonal. The space group is I4mm.

***

no.,energy of formation from the pure elements (eV/f.u.),DOS at the Fermi energy (states/eV per cell),energy (eV/atom)
1,-2.35,12.9,-3.75
2,-1.90,3.0,-3.01
3,-3.50,9.6,-3.99
4,-2.72,13.9,-3.66
5,-3.78,6.5,-2.88
6,-2.23,9.8,-3.05
7,-0.61,4.6,-4.82
8,-0.80,5.9,-3.10
9,-2.95,5.3,-2.23
10,-0.10,15.3,-4.70
11,-1.51,5.2,-3.28
12,-1.36,6.2,-4.61
13,-1.31,3.9,-3.73
14,-0.02,16.5,-4.21
15,-2.84,11.0,-4.43
16,-0.24,5.2,-4.20
17,0.39,18.4,-4.58
18,-2.66,7.9,-3.94
19,-3.78,9.8,-3.14
20,-3.11,11.8,-3.48
21,-0.46,7.1,-4.51
22,-2.29,4.4,-2.63
23,0.80,22.8,-5.04
24,0.25,9.3,-6.46